(1)
A geometry-optimized NaSnAs2Br structure. Source: Alexandria, functional PBEsol.

Values from the calculation:
VASP energy: -14.67 eV/cell
energy relative to the elements, uncorrected: 59.3 kJ per mole of atoms

Unit cell a=5.023 b=5.023 c=5.181 alpha=90.00 beta=90.00 gamma=90.00
Space group P4/mmm (No. 123)
Symmetry-distinct sites (fractional):
Na 0.000 0.000 0.000 [1 per cell]
Sn 0.500 0.500 0.500 [1 per cell]
As 0.000 0.500 0.000 [2 per cell]
Br 0.000 0.000 0.500 [1 per cell]


(2)
A geometry-optimized NaTaAs2Br structure. Source: Alexandria, functional PBEsol.

Values from the calculation:
VASP energy: -20.06 eV/cell
energy relative to the elements, uncorrected: 115.2 kJ per mole of atoms

Unit cell a=5.310 b=5.310 c=4.640 alpha=90.00 beta=90.00 gamma=90.00
Space group P4/mmm (No. 123)
Symmetry-distinct sites (fractional):
Na 0.000 0.000 0.000 [1 per cell]
Ta 0.500 0.500 0.000 [1 per cell]
As 0.000 0.500 0.500 [2 per cell]
Br 0.500 0.500 0.500 [1 per cell]


(3)
A geometry-optimized NaTiAsBr2 structure. Source: Alexandria, functional PBEsol.

Values from the calculation:
VASP energy: -16.45 eV/cell
energy relative to the elements, uncorrected: 40.9 kJ per mole of atoms

Unit cell a=4.999 b=4.999 c=5.372 alpha=90.00 beta=90.00 gamma=90.00
Space group P4/mmm (No. 123)
Symmetry-distinct sites (fractional):
Na 0.000 0.000 0.000 [1 per cell]
Ti 0.500 0.500 0.500 [1 per cell]
As 0.000 0.000 0.500 [1 per cell]
Br 0.000 0.500 0.000 [2 per cell]


- The highest VASP energy belongs to which entry?
  NaSnAs2Br


- Which formula does entry 2 have?
  NaTaAs2Br


- What is the formula in the second record?
  NaTaAs2Br


- Which formula does entry 1 have?
  NaSnAs2Br